# Pr2Sm2Dy4Ho PBE optimized geometry
# * size of the total moment: 0.00 μB per cell
# * density of states at the Fermi level: 12.169 states/eV per cell
# * density: 7.8 g/cm³
# * formation enthalpy at 0 K: 0.004 eV per atom
# * calculated volume: 33.02 Å³/atom
# * total DFT energy (no corrections): -4.66 eV per atom
data_Pr2Sm2Dy4Ho
_chemical_formula_sum 'Pr2 Sm2 Dy4 Ho1'
_space_group_name_H-M_alt 'P 1'
_space_group_IT_number 1
_space_group_name_Hall 'P 1'
_cell_length_a 9.588
_cell_length_b 9.588
_cell_length_c 9.650
_cell_angle_alpha 115.21
_cell_angle_beta 115.21
_cell_angle_gamma 21.83
loop_
_atom_site_label
_atom_site_type_symbol
_atom_site_fract_x
_atom_site_fract_y
_atom_site_fract_z
Pr1 Pr 0.165 0.165 0.001
Pr2 Pr 0.835 0.835 0.999
Sm1 Sm 0.353 0.353 0.338
Sm2 Sm 0.647 0.647 0.662
Dy1 Dy 0.019 0.019 0.332
Dy2 Dy 0.315 0.315 0.664
Dy3 Dy 0.685 0.685 0.336
Dy4 Dy 0.981 0.981 0.668
Ho1 Ho 0.500 0.500 0.000